# 1
Material: Ta2MnHOs
Method: DFT, PBE-GGA
State: relaxed

Lattice parameters (Å, degrees): 4.251 4.251 3.617 90.00 90.00 90.00
Fractional coordinates of all 5 atoms:
Ta (0.000, 0.500, 0.000)
Ta (0.500, 0.000, 0.000)
Mn (0.000, 0.000, 0.500)
H (0.500, 0.500, 0.000)
Os (0.500, 0.500, 0.500)

## Properties
Space group: P4/mmm (123)
Energy above the most stable polymorph in this dataset, meV/atom: 129
Total magnetic moment, Bohr magnetons per cell: 1.18



# 2
Material: Zn2InGa2
Method: DFT, PBE-GGA
State: relaxed

Lattice parameters (Å, degrees): 8.154 8.154 2.923 90.00 90.00 90.00
Fractional coordinates of all 10 atoms:
Zn (0.163, 0.337, 0.000)
Zn (0.337, 0.837, 0.000)
Zn (0.663, 0.163, 0.000)
Zn (0.837, 0.663, 0.000)
In (0.000, 0.000, 0.500)
In (0.500, 0.500, 0.500)
Ga (0.130, 0.630, 0.500)
Ga (0.370, 0.130, 0.500)
Ga (0.630, 0.870, 0.500)
Ga (0.870, 0.370, 0.500)

## Properties
Space group: P4/mbm (127)
Formation enthalpy at 0 K, meV per atom: 80
Energy above the most stable polymorph in this dataset, meV/atom: 47
Total magnetic moment, Bohr magnetons per cell: 0.00



# 3
Material: LaCeCu
Method: DFT, PBE-GGA
State: relaxed

Lattice parameters (Å, degrees): 4.589 4.452 7.699 90.00 90.91 90.00
Fractional coordinates of all 6 atoms:
La (0.250, 0.250, 0.120)
La (0.750, 0.750, 0.880)
Ce (0.305, 0.750, 0.506)
Ce (0.695, 0.250, 0.494)
Cu (0.207, 0.250, 0.749)
Cu (0.793, 0.750, 0.251)

## Properties
Space group: P2_1/m (11)
Formation enthalpy at 0 K, meV per atom: -42
Energy above the most stable polymorph in this dataset, meV/atom: 0
Total magnetic moment, Bohr magnetons per cell: 0.42



# 4
Material: CsRb2AsCl6
Method: DFT, PBE-GGA
State: relaxed

Lattice parameters (Å, degrees): 7.797 8.200 13.508 90.00 124.30 90.00
Fractional coordinates of all 20 atoms:
Cs (0.000, 0.000, 0.000)
Cs (0.000, 0.500, 0.500)
Rb (0.278, 0.072, 0.751)
Rb (0.278, 0.428, 0.251)
Rb (0.722, 0.572, 0.749)
Rb (0.722, 0.928, 0.249)
As (0.500, 0.000, 0.500)
As (0.500, 0.500, 0.000)
Cl (0.171, 0.050, 0.294)
Cl (0.171, 0.450, 0.794)
Cl (0.299, 0.668, 0.059)
Cl (0.299, 0.832, 0.559)
Cl (0.423, 0.243, 0.074)
Cl (0.423, 0.257, 0.574)
Cl (0.577, 0.743, 0.426)
Cl (0.577, 0.757, 0.926)
Cl (0.701, 0.168, 0.441)
Cl (0.701, 0.332, 0.941)
Cl (0.829, 0.550, 0.206)
Cl (0.829, 0.950, 0.706)

## Properties
Space group: P2_1/c (14)
ΔE_f (raw), kJ/mol of formula units: -1414
Energy above the most stable polymorph in this dataset, meV/atom: 0
Total magnetic moment, Bohr magnetons per cell: 0.00



Values for E_tot, eV per cell, ordered as above
-47.6; -21.9; -30.2; -66.3